The following is a PBE-GGA calculation of ZrTlW2 after structural relaxation, from Alexandria.

Computed properties:
energy: -8.783 eV per atom
calculated volume: 154.5 Å³ per cell
DOS(E_F): 0.540 states/eV/atom
ΔE_f: 40.7 kJ per mole of atoms
magnetization: 0.00 Bohr magnetons per cell
energy above the most stable polymorph in this dataset: 0.138 eV/atom

Cell and atoms, written as CIF:
```
data_ZrTlW2
_space_group_name_H-M_alt 'I m m 2'
_space_group_IT_number 44
_cell_length_a 3.492
_cell_length_b 4.729
_cell_length_c 9.358
_cell_angle_alpha 90.00
_cell_angle_beta 90.00
_cell_angle_gamma 90.00
loop_
_space_group_symop_operation_xyz
'x,y,z'
'-x,-y,z'
'-x,y,z'
'x,-y,z'
'x+1/2,y+1/2,z+1/2'
'-x+1/2,-y+1/2,z+1/2'
'-x+1/2,y+1/2,z+1/2'
'x+1/2,-y+1/2,z+1/2'
loop_
_atom_site_label
_atom_site_type_symbol
_atom_site_fract_x
_atom_site_fract_y
_atom_site_fract_z
Zr1 Zr 0.000 0.000 0.000
Tl1 Tl 0.000 0.500 0.227
W1 W 0.000 0.000 0.467
W2 W 0.000 0.500 0.761
```